Sm2BeAlPt6: optimized geometry, PBE.

Summary:
N(E_F) = 0.26 states/eV per atom
ΔE_f = -0.931 eV per atom
spin magnetization = 0.00 μB per formula unit
symmetry = R-3m

a b c (Å): 7.3154 7.3154 7.3154
angles (deg): 46.16 46.16 46.16
Last column: nearest neighbours and their distance in Å.
Sites, in units of the cell vectors:
Sm (0.2127, 0.2127, 0.2127)  9 Pt 3.04-3.29
Sm (0.7873, 0.7873, 0.7873)  9 Pt 3.04-3.29
Be (0.0000, 0.0000, 0.0000)  6 Pt 2.18
Al (0.5000, 0.5000, 0.5000)  6 Pt 2.49
Pt (0.2412, 0.2412, 0.7250)  1 Be 2.18
Pt (0.2412, 0.7250, 0.2412)  1 Be 2.18
Pt (0.2750, 0.7588, 0.7588)  1 Be 2.18
Pt (0.7250, 0.2412, 0.2412)  1 Be 2.18
Pt (0.7588, 0.2750, 0.7588)  1 Be 2.18
Pt (0.7588, 0.7588, 0.2750)  1 Be 2.18

---

SmBe2AlPt5: optimized geometry, PBE.

Summary:
N(E_F) = 0.29 states/eV per atom
ΔE_f = -0.740 eV per atom
spin magnetization = 0.00 μB per formula unit
symmetry = P4/mmm

a b c (Å): 4.0652 4.0652 9.2880
angles (deg): 90.00 90.00 90.00
Last column: nearest neighbours and their distance in Å.
Sites, in units of the cell vectors:
Sm (0.0000, 0.0000, 0.0000)  4 Pt 2.87
Be (0.5000, 0.5000, 0.2348)  5 Pt 2.18-2.23
Be (0.5000, 0.5000, 0.7652)  5 Pt 2.18-2.23
Al (0.0000, 0.0000, 0.5000)  8 Pt 2.55
Pt (0.0000, 0.5000, 0.3340)  2 Be 2.23
Pt (0.0000, 0.5000, 0.6660)  2 Be 2.23
Pt (0.5000, 0.0000, 0.3340)  2 Be 2.23
Pt (0.5000, 0.0000, 0.6660)  2 Be 2.23
Pt (0.5000, 0.5000, 0.0000)  2 Be 2.18

---

SrBeAlPt2: optimized geometry, PBE.

Summary:
N(E_F) = 0.47 states/eV per atom
ΔE_f = -0.799 eV per atom
spin magnetization = 0.00 μB per formula unit
symmetry = I-4m2

a b c (Å): 6.3193 6.3193 6.3193
angles (deg): 142.23 142.23 54.48
Last column: nearest neighbours and their distance in Å.
Sites, in units of the cell vectors:
Sr (0.0000, 0.0000, 0.0000)  8 Pt 3.23, 4 Be 3.47, 4 Al 3.47
Be (0.2500, 0.7500, 0.5000)  4 Pt 2.46
Al (0.7500, 0.2500, 0.5000)  4 Pt 2.46
Pt (0.3713, 0.3713, 0.0000)  2 Be 2.46, 2 Al 2.46
Pt (0.6287, 0.6287, 0.0000)  2 Be 2.46, 2 Al 2.46

---

Sr2BeAlPt6: optimized geometry, PBE.

Summary:
N(E_F) = 0.18 states/eV per atom
ΔE_f = -0.723 eV per atom
spin magnetization = 0.00 μB per formula unit
symmetry = R-3m

a b c (Å): 6.9241 6.9241 6.9241
angles (deg): 53.28 53.28 53.28
Last column: nearest neighbours and their distance in Å.
Sites, in units of the cell vectors:
Sr (0.2172, 0.2172, 0.2172)  12 Pt 3.29-3.51
Sr (0.7828, 0.7828, 0.7828)  12 Pt 3.29-3.51
Be (0.0000, 0.0000, 0.0000)  6 Pt 2.24
Al (0.5000, 0.5000, 0.5000)  6 Pt 2.53
Pt (0.2423, 0.2423, 0.6813)  1 Be 2.24
Pt (0.2423, 0.6813, 0.2423)  1 Be 2.24
Pt (0.3187, 0.7577, 0.7577)  1 Be 2.24
Pt (0.6813, 0.2423, 0.2423)  1 Be 2.24
Pt (0.7577, 0.3187, 0.7577)  1 Be 2.24
Pt (0.7577, 0.7577, 0.3187)  1 Be 2.24

---

no.,theoretical density (Mg/m³)
1,13.47
2,12.67
3,9.07
4,11.60